Computed, not measured: a geometry-optimized Ce2ThTe structure at the GGA-PBE level of DFT.

a = 4.124 Å, b = 4.124 Å, c = 6.861 Å
α = 90.00°, β = 90.00°, γ = 90.00°
Fractional positions:
Ce (0.000, 0.000, 0.297)
Te (0.500, 0.500, 0.500)
Th (0.500, 0.500, 0.000)
Ce (0.000, 0.000, 0.703)

Computed properties:
DOS at the Fermi energy: 10.55 states/eV per cell
ρ: 9.11 g/cm3
Crystal system: tetragonal
Formation energy without anion corrections: -0.5001 eV/atom